No. 1
Entry from OQMD: Nd2Dy3HoCoTe2 after structural relaxation (PBE).

Cell: 3.980 8.499 8.499 Å, 120.51 90.00 90.00°
Atoms (fractional coordinates):
Nd: 0.000 0.204 0.796
Nd: 0.000 0.796 0.204
Dy: 0.500 0.026 0.026
Dy: 0.500 0.566 0.802
Dy: 0.500 0.802 0.566
Ho: 0.000 0.409 0.409
Co: 0.000 0.771 0.771
Te: 0.500 0.140 0.459
Te: 0.500 0.459 0.140

- E_tot (eV/atom) = -5.28
- symmetry = Amm2, No. 38
- calculated volume (Å³ per atom) = 27.521


No. 2
Entry from OQMD: Er2Co12Ni5 after structural relaxation (PBE).

Cell: 8.249 8.249 7.978 Å, 90.00 90.00 120.00°
Atoms (fractional coordinates):
Er: 0.000 0.000 0.250
Er: 0.000 0.000 0.750
Er: 0.333 0.667 0.250
Er: 0.667 0.333 0.750
Co: 0.048 0.375 0.750
Co: 0.048 0.674 0.750
Co: 0.163 0.325 0.025
Co: 0.163 0.325 0.475
Co: 0.163 0.837 0.025
Co: 0.163 0.837 0.475
Co: 0.325 0.163 0.525
Co: 0.325 0.163 0.975
Co: 0.326 0.375 0.750
Co: 0.326 0.952 0.750
Co: 0.375 0.048 0.250
Co: 0.375 0.326 0.250
Co: 0.625 0.674 0.750
Co: 0.625 0.952 0.750
Co: 0.674 0.048 0.250
Co: 0.674 0.625 0.250
Co: 0.675 0.837 0.025
Co: 0.675 0.837 0.475
Co: 0.837 0.163 0.525
Co: 0.837 0.163 0.975
Co: 0.837 0.675 0.525
Co: 0.837 0.675 0.975
Co: 0.952 0.326 0.250
Co: 0.952 0.625 0.250
Ni: 0.000 0.500 0.000
Ni: 0.000 0.500 0.500
Ni: 0.333 0.667 0.599
Ni: 0.333 0.667 0.901
Ni: 0.500 0.000 0.000
Ni: 0.500 0.000 0.500
Ni: 0.500 0.500 0.000
Ni: 0.500 0.500 0.500
Ni: 0.667 0.333 0.099
Ni: 0.667 0.333 0.401

- symmetry = P6_3/mmc, No. 194
- calculated volume (Å³ per atom) = 12.372
- ΔH_f (0 K) (eV per atom) = -0.108


No. 3
Entry from OQMD: Y3CoNi8 after structural relaxation (PBE).

Cell: 8.602 8.602 8.602 Å, 33.35 33.35 33.35°
Atoms (fractional coordinates):
Y: 0.000 0.000 0.000
Y: 0.140 0.140 0.140
Y: 0.860 0.860 0.860
Co: 0.500 0.500 0.500
Ni: 0.083 0.582 0.582
Ni: 0.333 0.333 0.333
Ni: 0.418 0.418 0.917
Ni: 0.418 0.917 0.418
Ni: 0.582 0.083 0.582
Ni: 0.582 0.582 0.083
Ni: 0.667 0.667 0.667
Ni: 0.917 0.418 0.418

- symmetry = R-3m, No. 166
- calculated volume (Å³ per atom) = 14.270
- ΔH_f (0 K) (eV per atom) = -0.360


Repeat the second record exactly.
Entry from OQMD: Er2Co12Ni5 after structural relaxation (PBE).

Cell: 8.249 8.249 7.978 Å, 90.00 90.00 120.00°
Atoms (fractional coordinates):
Er: 0.000 0.000 0.250
Er: 0.000 0.000 0.750
Er: 0.333 0.667 0.250
Er: 0.667 0.333 0.750
Co: 0.048 0.375 0.750
Co: 0.048 0.674 0.750
Co: 0.163 0.325 0.025
Co: 0.163 0.325 0.475
Co: 0.163 0.837 0.025
Co: 0.163 0.837 0.475
Co: 0.325 0.163 0.525
Co: 0.325 0.163 0.975
Co: 0.326 0.375 0.750
Co: 0.326 0.952 0.750
Co: 0.375 0.048 0.250
Co: 0.375 0.326 0.250
Co: 0.625 0.674 0.750
Co: 0.625 0.952 0.750
Co: 0.674 0.048 0.250
Co: 0.674 0.625 0.250
Co: 0.675 0.837 0.025
Co: 0.675 0.837 0.475
Co: 0.837 0.163 0.525
Co: 0.837 0.163 0.975
Co: 0.837 0.675 0.525
Co: 0.837 0.675 0.975
Co: 0.952 0.326 0.250
Co: 0.952 0.625 0.250
Ni: 0.000 0.500 0.000
Ni: 0.000 0.500 0.500
Ni: 0.333 0.667 0.599
Ni: 0.333 0.667 0.901
Ni: 0.500 0.000 0.000
Ni: 0.500 0.000 0.500
Ni: 0.500 0.500 0.000
Ni: 0.500 0.500 0.500
Ni: 0.667 0.333 0.099
Ni: 0.667 0.333 0.401

- symmetry = P6_3/mmc, No. 194
- calculated volume (Å³ per atom) = 12.372
- ΔH_f (0 K) (eV per atom) = -0.108


Repeat the first record exactly.
Entry from OQMD: Nd2Dy3HoCoTe2 after structural relaxation (PBE).

Cell: 3.980 8.499 8.499 Å, 120.51 90.00 90.00°
Atoms (fractional coordinates):
Nd: 0.000 0.204 0.796
Nd: 0.000 0.796 0.204
Dy: 0.500 0.026 0.026
Dy: 0.500 0.566 0.802
Dy: 0.500 0.802 0.566
Ho: 0.000 0.409 0.409
Co: 0.000 0.771 0.771
Te: 0.500 0.140 0.459
Te: 0.500 0.459 0.140

- E_tot (eV/atom) = -5.28
- symmetry = Amm2, No. 38
- calculated volume (Å³ per atom) = 27.521


- The highest calculated volume belongs to which entry?
  Nd2Dy3HoCoTe2


- What is the calculated volume in the third record?
  14.270 Å³ per atom